No. 1
A relaxed structure of BaMoCl2, computed with PBE-GGA.

Lattice parameters (Å, degrees): 3.4357 3.4357 28.5813 90.00 90.00 120.00
With the nearest neighbours (Å) after each atom.
Space group R-3m (No. 166, hexagonal axes)
One atom of each set of equivalent atoms:
1 Ba 0.0000 0.0000 0.0000 [3 per cell]  6 Cl 3.10, 6 Ba 3.44
2 Mo 0.0000 0.0000 0.5000 [3 per cell]  2 Cl 2.39
3 Cl 0.0000 0.0000 0.4165 [6 per cell]  1 Mo 2.39

Output
* ΔE to the lowest computed polymorph: 338 meV per atom
* raw formation energy: -0.20 eV/atom


No. 2
A relaxed structure of TiNbBr3, computed with PBE-GGA.

Lattice parameters (Å, degrees): 5.1746 5.1746 5.1746 90.00 90.00 90.00
With the nearest neighbours (Å) after each atom.
Space group Pm-3m (No. 221)
One atom of each set of equivalent atoms:
1 Ti 0.0000 0.0000 0.0000 [1 per cell]  6 Br 2.59
2 Nb 0.5000 0.5000 0.5000 [1 per cell]  12 Br 3.66
3 Br 0.0000 0.0000 0.5000 [3 per cell]  2 Ti 2.59

Output
* ΔE to the lowest computed polymorph: 0 meV per atom
* raw formation energy: 0.23 eV/atom


No. 3
A relaxed structure of Pm6ZnPd2, computed with PBE-GGA.

Lattice parameters (Å, degrees): 9.6300 9.9713 10.5237 90.00 90.00 90.00
With the nearest neighbours (Å) after each atom.
Space group Immm (No. 71)
One atom of each set of equivalent atoms:
1 Pm 0.0000 0.1889 0.2416 [8 per cell]  1 Pd 2.97, 2 Zn 3.16-3.31
2 Pm 0.2001 0.5000 0.1710 [8 per cell]  3 Pd 2.84-3.07
3 Pm 0.2183 0.3233 0.5000 [8 per cell]  3 Pd 3.07-3.18, 1 Zn 3.23
4 Zn 0.0000 0.0000 0.0000 [2 per cell]  8 Pm 3.16-3.23, 2 Pd 3.42
5 Zn 0.0000 0.0000 0.5000 [2 per cell]  8 Pm 3.31-3.40
6 Pd 0.0000 0.3431 0.0000 [4 per cell]  8 Pm 2.97-3.18, 1 Pd 3.13
7 Pd 0.0000 0.5000 0.3686 [4 per cell]  1 Pd 2.77, 6 Pm 2.84-3.07

Output
* calculated formation energy: -0.42 eV per atom


No. 4
A relaxed structure of ErTmMgZr, computed with PBE-GGA.

Lattice parameters (Å, degrees): 7.5064 7.5064 7.5064 90.00 90.00 90.00
With the nearest neighbours (Å) after each atom.
Space group F-43m (No. 216)
One atom of each set of equivalent atoms:
1 Er 0.0000 0.0000 0.0000 [4 per cell]  4 Mg 3.25, 4 Zr 3.25
2 Tm 0.0000 0.0000 0.5000 [4 per cell]  4 Zr 3.25, 4 Mg 3.25
3 Mg 0.2500 0.2500 0.2500 [4 per cell]  4 Tm 3.25, 4 Er 3.25
4 Zr 0.2500 0.2500 0.7500 [4 per cell]  4 Er 3.25, 4 Tm 3.25

Output
* ΔE to the lowest computed polymorph: 153 meV per atom
* calculated formation energy: 0.13 eV per atom


No. 5
A relaxed structure of PrEr6Tm8, computed with PBE-GGA.

Lattice parameters (Å, degrees): 8.9272 8.9272 20.3463 90.00 90.00 120.00
With the nearest neighbours (Å) after each atom.
Space group R-3 (No. 148, hexagonal axes)
One atom of each set of equivalent atoms:
1 Pr 0.0000 0.0000 0.0000 [3 per cell]  6 Er 3.40, 6 Tm 3.50
2 Er 0.0653 0.2457 0.7079 [18 per cell]  4 Tm 3.32-3.70, 1 Pr 3.40, 4 Er 3.41-3.70
3 Tm 0.0000 0.0000 0.4238 [6 per cell]  4 Tm 3.10-3.37, 3 Er 3.32
4 Tm 0.0809 0.5516 0.8092 [18 per cell]  5 Tm 3.35-3.39, 3 Er 3.35-3.70, 1 Pr 3.50

Output
* ΔE to the lowest computed polymorph: 0 meV per atom
* calculated formation energy: 0.14 eV per atom


No. 6
A relaxed structure of ErTlCdTe3, computed with PBE-GGA.

Lattice parameters (Å, degrees): 9.4070 4.4756 10.5105 90.00 106.64 90.00
With the nearest neighbours (Å) after each atom.
Space group P2_1/m (No. 11)
One atom of each set of equivalent atoms:
1 Er 0.1726 0.2500 0.1392 [2 per cell]  6 Te 3.04-3.24
2 Tl 0.2915 0.7500 0.7758 [2 per cell]  5 Te 3.43-3.61
3 Cd 0.4172 0.7500 0.3939 [2 per cell]  4 Te 2.82-2.98
4 Te 0.0436 0.2500 0.8393 [2 per cell]  3 Er 3.04-3.08
5 Te 0.2606 0.2500 0.4612 [2 per cell]  3 Cd 2.88-2.98
6 Te 0.3947 0.7500 0.1205 [2 per cell]  1 Cd 2.82, 2 Er 3.11

Output
* raw formation energy: -0.80 eV/atom


No. 7
A relaxed structure of BaSb2Au, computed with PBE-GGA.

Lattice parameters (Å, degrees): 7.0197 9.7224 3.4428 90.00 90.00 90.00
With the nearest neighbours (Å) after each atom.
Space group Cmmm (No. 65)
One atom of each set of equivalent atoms:
1 Ba 0.0000 0.0000 0.0000 [2 per cell]  2 Ba 3.44, 8 Sb 3.46, 2 Au 3.51
2 Sb 0.2500 0.2500 0.5000 [4 per cell]  4 Sb 3.44-3.51, 4 Ba 3.46, 4 Au 3.46
3 Au 0.0000 0.5000 0.0000 [2 per cell]  2 Au 3.44, 8 Sb 3.46, 2 Ba 3.51

Output
* raw formation energy: -0.18 eV/atom


No. 8
A relaxed structure of ZrReH, computed with PBE-GGA.

Lattice parameters (Å, degrees): 2.9817 5.3137 5.3586 106.20 98.68 99.18
With the nearest neighbours (Å) after each atom.
Space group P1 (No. 1)
One atom of each set of equivalent atoms:
1 Zr 0.0000 0.0000 0.0000 [1 per cell]  1 H 2.02
2 Zr 0.0227 0.5951 0.4483 [1 per cell]  2 H 2.11-2.33
3 Re 0.4214 0.4822 0.9238 [1 per cell]  1 H 1.94
4 Re 0.6096 0.1137 0.5515 [1 per cell]  3 H 1.80-1.99
5 H 0.0775 0.1930 0.3905 [1 per cell]  2 Re 1.80-1.86, 1 Zr 2.02
6 H 0.5089 0.8005 0.2266 [1 per cell]  2 Re 1.94-1.99

Output
* ΔE to the lowest computed polymorph: 135 meV per atom


> Number 3 is which compound?

Pm6ZnPd2